Tc2BW PBE relaxed; space-group type = Cmcm; uncorrected energy = -10.367 eV/atom
1.0
1.502 -4.618 0.000
1.502 4.618 0.000
0.000 0.000 7.271
Tc B W
4 2 2
Cartesian
1.502 3.331 4.034
1.502 3.331 6.872
1.502 -3.331 0.399
1.502 -3.331 3.237
1.502 2.167 1.818
1.502 -2.167 5.453
1.502 0.653 5.453
1.502 -0.653 1.818

***

TcB4W PBE relaxed; space-group type = P6/mmm; excess energy over the best structure of this formula in the dataset = 299.0 meV/atom
1.0
2.991 0.000 0.000
-1.496 2.591 0.000
0.000 0.000 6.802
Tc B W
1 4 1
Cartesian
0.000 0.000 0.000
0.000 1.727 1.709
0.000 1.727 5.093
1.496 0.864 1.709
1.496 0.864 5.093
0.000 0.000 3.401

***

TcBW2 PBE relaxed; space-group type = F-43m; uncorrected energy = -10.156 eV/atom
1.0
0.000 3.022 3.022
3.022 0.000 3.022
3.022 3.022 0.000
Tc B W
1 1 2
Cartesian
0.000 0.000 0.000
4.533 4.533 4.533
1.511 1.511 1.511
3.022 3.022 3.022

***

Tc2BW PBE relaxed; space-group type = F-43m; uncorrected energy = -9.492 eV/atom
1.0
0.000 2.987 2.987
2.987 0.000 2.987
2.987 2.987 0.000
Tc B W
2 1 1
Cartesian
0.000 0.000 0.000
1.494 1.494 1.494
2.987 2.987 2.987
4.481 4.481 4.481

***

TcB4W PBE relaxed; space-group type = P-6m2; excess energy over the best structure of this formula in the dataset = 0.0 meV/atom
1.0
2.911 0.000 0.000
-1.456 2.521 0.000
0.000 0.000 7.627
Tc B W
1 4 1
Cartesian
0.000 0.000 0.000
0.000 0.000 2.206
0.000 0.000 5.420
0.000 1.681 1.544
0.000 1.681 6.082
0.000 1.681 3.813

***

Tc2B2W PBE relaxed; space-group type = I4/mmm; uncorrected energy = -9.192 eV/atom
1.0
-1.814 1.814 4.472
1.814 -1.814 4.472
1.814 1.814 -4.472
Tc B W
2 2 1
Cartesian
1.814 0.000 2.236
0.000 1.814 2.236
0.000 0.000 0.856
0.000 0.000 8.088
0.000 0.000 4.472

***

YTcB4 PBE relaxed; space-group type = P6/mmm; excess energy over the best structure of this formula in the dataset = 260.3 meV/atom
1.0
3.152 0.000 0.000
-1.576 2.730 0.000
0.000 0.000 6.990
Y Tc B
1 1 4
Cartesian
0.000 0.000 0.000
0.000 0.000 3.495
0.000 1.820 1.938
0.000 1.820 5.052
1.576 0.910 1.938
1.576 0.910 5.052

***

YTcB4 PBE relaxed; space-group type = Pbam; excess energy over the best structure of this formula in the dataset = 0.0 meV/atom
1.0
5.968 0.000 0.000
0.000 11.551 0.000
0.000 0.000 3.598
Y Tc B
4 4 16
Cartesian
0.756 1.733 0.000
2.228 7.508 0.000
3.740 4.043 0.000
5.212 9.818 0.000
0.793 4.767 0.000
2.192 10.542 0.000
3.777 1.008 0.000
5.176 6.784 0.000
0.141 7.997 1.799
0.676 6.319 1.799
0.812 11.185 1.799
1.273 9.412 1.799
1.711 3.637 1.799
2.172 5.410 1.799
2.308 0.544 1.799
2.843 2.222 1.799
3.126 9.329 1.799
3.661 11.007 1.799
3.796 6.141 1.799
4.257 7.914 1.799
4.695 2.138 1.799
5.156 0.365 1.799
5.292 5.232 1.799
5.827 3.554 1.799

***

YTcB4 PBE relaxed; space-group type = Immm; excess energy over the best structure of this formula in the dataset = 272.4 meV/atom
1.0
-1.578 2.689 3.556
1.578 -2.689 3.556
1.578 2.689 -3.556
Y Tc B
1 1 4
Cartesian
0.000 0.000 0.000
0.000 0.000 3.556
1.578 -0.881 1.785
1.578 0.881 1.785
0.000 1.808 1.771
0.000 3.569 1.771

***

YTc4B4 PBE relaxed; space-group type = P4_2/n; uncorrected energy = -8.718 eV/atom
1.0
7.359 0.000 0.000
0.000 7.359 0.000
0.000 0.000 4.248
Y Tc B
2 8 8
Cartesian
1.840 1.840 1.062
5.520 5.520 3.186
0.859 4.596 0.501
0.916 6.500 2.625
2.764 4.539 2.625
2.821 6.443 0.501
4.539 0.916 3.747
4.596 2.821 1.623
6.443 0.859 1.623
6.500 2.764 3.747
0.480 6.813 0.507
0.547 4.160 2.631
3.133 6.880 2.631
3.200 4.226 0.507
4.160 3.133 3.742
4.226 0.480 1.617
6.813 3.200 1.617
6.880 0.547 3.742

***

Y2TcB6 PBE relaxed; space-group type = Pbam; uncorrected energy = -7.683 eV/atom
1.0
9.170 0.000 0.000
0.000 11.547 0.000
0.000 0.000 3.686
Y Tc B
8 4 24
Cartesian
0.525 1.509 0.000
1.618 4.781 0.000
2.967 10.555 0.000
4.060 7.282 0.000
5.110 4.265 0.000
6.203 0.992 0.000
7.552 6.765 0.000
8.644 10.038 0.000
1.271 7.844 0.000
3.313 2.071 0.000
5.856 9.476 0.000
7.898 3.703 0.000
0.160 3.330 1.843
0.489 6.549 1.843
0.922 11.222 1.843
1.202 9.403 1.843
1.909 2.712 1.843
2.281 6.714 1.843
2.304 0.940 1.843
2.676 8.486 1.843
3.382 3.629 1.843
3.663 5.449 1.843
4.095 0.775 1.843
4.425 9.104 1.843
4.745 2.443 1.843
5.074 10.771 1.843
5.507 6.098 1.843
5.787 7.917 1.843
6.493 3.061 1.843
6.866 10.607 1.843
6.889 4.833 1.843
7.261 8.835 1.843
7.967 2.144 1.843
8.247 0.324 1.843
8.680 4.998 1.843
9.009 8.216 1.843

***

Zn2TcB PBE relaxed; space-group type = F-43m; uncorrected energy = -4.320 eV/atom
1.0
0.000 2.897 2.897
2.897 0.000 2.897
2.897 2.897 0.000
Zn Tc B
2 1 1
Cartesian
0.000 0.000 0.000
1.449 1.449 1.449
4.346 4.346 4.346
2.897 2.897 2.897